1.
# PBE Ho4FeBi, relaxed
data_Ho4FeBi
_chemical_formula_sum 'Ho8 Fe2 Bi2'
_cell_length_a 6.0276
_cell_length_b 8.6764
_cell_length_c 7.9582
_cell_angle_alpha 115.03
_cell_angle_beta 101.71
_cell_angle_gamma 108.81
_space_group_name_H-M_alt 'P 1'
_space_group_IT_number 1
loop_
_space_group_symop_operation_xyz
'x,y,z'
loop_
_atom_site_label
_atom_site_fract_x
_atom_site_fract_y
_atom_site_fract_z
Ho1 0.0644 0.2024 0.8565
Ho2 0.7924 0.7326 0.6769
Ho3 0.2920 0.6541 0.8565
Ho4 0.3846 0.9444 0.6769
Ho5 0.6154 0.0556 0.3231
Ho6 0.7080 0.3459 0.1435
Ho7 0.2076 0.2674 0.3231
Ho8 0.9356 0.7976 0.1435
Fe1 0.2506 0.0006 0.0012
Fe2 0.7494 0.9994 0.9988
Bi1 0.3786 0.6286 0.2572
Bi2 0.6214 0.3714 0.7428
# * calculated formation energy: -0.316 eV/atom
# * DFT total energy: -5.42 eV per atom
# * symmetry: C2/c, No. 15

---

2.
# PBE BaPbSeN2, relaxed
data_BaPbSeN2
_chemical_formula_sum 'Ba1 Pb1 Se1 N2'
_cell_length_a 4.6133
_cell_length_b 4.6133
_cell_length_c 5.6554
_cell_angle_alpha 90.00
_cell_angle_beta 90.00
_cell_angle_gamma 90.00
_space_group_name_H-M_alt 'P 1'
_space_group_IT_number 1
loop_
_space_group_symop_operation_xyz
'x,y,z'
loop_
_atom_site_label
_atom_site_fract_x
_atom_site_fract_y
_atom_site_fract_z
Pb1 0.0000 0.0000 0.0000
Ba1 0.5000 0.5000 0.5000
Se1 0.0000 0.0000 0.5000
N1 0.0000 0.5000 0.0000
N2 0.5000 0.0000 0.0000
# * E_form (uncorrected): 543 meV per atom
# * DFT total energy: -4.61 eV per atom
# * energy above the lowest structure with this stoichiometry: 0 meV/atom
# * symmetry: P4/mmm, No. 123

---

3.
# PBE MnTlSnSe4, relaxed
data_MnTlSnSe4
_chemical_formula_sum 'Mn2 Tl2 Sn2 Se8'
_cell_length_a 7.0326
_cell_length_b 6.9647
_cell_length_c 8.5273
_cell_angle_alpha 90.00
_cell_angle_beta 106.51
_cell_angle_gamma 90.00
_space_group_name_H-M_alt 'P 1'
_space_group_IT_number 1
loop_
_space_group_symop_operation_xyz
'x,y,z'
loop_
_atom_site_label
_atom_site_fract_x
_atom_site_fract_y
_atom_site_fract_z
Mn1 0.2051 0.7500 0.3033
Mn2 0.7949 0.2500 0.6967
Tl1 0.7521 0.7500 0.9388
Tl2 0.2479 0.2500 0.0612
Sn1 0.7409 0.7500 0.4266
Sn2 0.2591 0.2500 0.5734
Se1 0.0095 0.4985 0.7221
Se2 0.9905 0.9985 0.2779
Se3 0.9905 0.5015 0.2779
Se4 0.0095 0.0015 0.7221
Se5 0.4100 0.7500 0.1415
Se6 0.5900 0.2500 0.8585
Se7 0.4099 0.7500 0.5593
Se8 0.5901 0.2500 0.4407
# * E_form (uncorrected): -297 meV per atom
# * DFT total energy: -4.51 eV per atom
# * symmetry: P2_1/m, No. 11

---

4.
# PBE EuY3, relaxed
data_EuY3
_chemical_formula_sum 'Eu1 Y3'
_cell_length_a 3.6550
_cell_length_b 5.8649
_cell_length_c 6.3913
_cell_angle_alpha 90.00
_cell_angle_beta 90.00
_cell_angle_gamma 90.00
_space_group_name_H-M_alt 'P 1'
_space_group_IT_number 1
loop_
_space_group_symop_operation_xyz
'x,y,z'
loop_
_atom_site_label
_atom_site_fract_x
_atom_site_fract_y
_atom_site_fract_z
Eu1 0.0000 0.5000 0.3324
Y1 0.0000 0.0000 0.9957
Y2 0.5000 0.0000 0.5072
Y3 0.5000 0.5000 0.8314
# * calculated formation energy: 0.062 eV/atom
# * DFT total energy: -7.35 eV per atom
# * energy above the lowest structure with this stoichiometry: 1 meV/atom
# * symmetry: Pmm2, No. 25

---

5.
# PBE GePd2Pt8, relaxed
data_GePd2Pt8
_chemical_formula_sum 'Ge1 Pd2 Pt8'
_cell_length_a 4.0055
_cell_length_b 6.2380
_cell_length_c 7.3893
_cell_angle_alpha 104.92
_cell_angle_beta 105.73
_cell_angle_gamma 90.00
_space_group_name_H-M_alt 'P 1'
_space_group_IT_number 1
loop_
_space_group_symop_operation_xyz
'x,y,z'
loop_
_atom_site_label
_atom_site_fract_x
_atom_site_fract_y
_atom_site_fract_z
Ge1 0.5000 0.0000 0.0000
Pt1 0.5894 0.4359 0.1788
Pt2 0.3207 0.0904 0.6414
Pt3 0.1344 0.1735 0.2688
Pt4 0.0455 0.7237 0.0911
Pt5 0.8656 0.8265 0.7312
Pt6 0.6793 0.9096 0.3586
Pt7 0.4106 0.5641 0.8212
Pt8 0.9545 0.2763 0.9089
Pd1 0.2241 0.6326 0.4483
Pd2 0.7759 0.3674 0.5517
# * calculated formation energy: -0.103 eV/atom
# * DFT total energy: -5.86 eV per atom
# * symmetry: C2/m, No. 12

---

6.
# PBE AcPaNi10, relaxed
data_AcPaNi10
_chemical_formula_sum 'Ac1 Pa1 Ni10'
_cell_length_a 4.0114
_cell_length_b 4.9521
_cell_length_c 8.5922
_cell_angle_alpha 90.00
_cell_angle_beta 90.00
_cell_angle_gamma 90.00
_space_group_name_H-M_alt 'P 1'
_space_group_IT_number 1
loop_
_space_group_symop_operation_xyz
'x,y,z'
loop_
_atom_site_label
_atom_site_fract_x
_atom_site_fract_y
_atom_site_fract_z
Ac1 0.0000 0.0000 0.0000
Pa1 0.0000 0.5000 0.5000
Ni1 0.0000 0.0000 0.3452
Ni2 0.0000 0.5000 0.8111
Ni3 0.0000 0.5000 0.1889
Ni4 0.0000 0.0000 0.6548
Ni5 0.5000 0.0000 0.5000
Ni6 0.5000 0.5000 0.0000
Ni7 0.5000 0.2563 0.2621
Ni8 0.5000 0.7437 0.7379
Ni9 0.5000 0.7437 0.2621
Ni10 0.5000 0.2563 0.7379
# * calculated formation energy: -0.307 eV/atom
# * DFT total energy: -6.26 eV per atom
# * symmetry: Pmmm, No. 47

---

7.
# PBE AuS2BrCl, relaxed
data_AuS2BrCl
_chemical_formula_sum 'Au1 S2 Br1 Cl1'
_cell_length_a 4.9657
_cell_length_b 4.9657
_cell_length_c 4.9467
_cell_angle_alpha 90.00
_cell_angle_beta 90.00
_cell_angle_gamma 90.00
_space_group_name_H-M_alt 'P 1'
_space_group_IT_number 1
loop_
_space_group_symop_operation_xyz
'x,y,z'
loop_
_atom_site_label
_atom_site_fract_x
_atom_site_fract_y
_atom_site_fract_z
S1 0.0000 0.5000 0.0000
S2 0.5000 0.0000 0.0000
Au1 0.0000 0.0000 0.0000
Br1 0.5000 0.5000 0.5000
Cl1 0.0000 0.0000 0.5000
# * E_form (uncorrected): 682 meV per atom
# * DFT total energy: -2.33 eV per atom
# * energy above the lowest structure with this stoichiometry: 0 meV/atom
# * symmetry: P4/mmm, No. 123

---

8.
# PBE Tl2CuI2Br2, relaxed
data_Tl2CuI2Br2
_chemical_formula_sum 'Tl2 Cu1 I2 Br2'
_cell_length_a 5.2982
_cell_length_b 5.2982
_cell_length_c 9.3144
_cell_angle_alpha 106.52
_cell_angle_beta 106.52
_cell_angle_gamma 90.00
_space_group_name_H-M_alt 'P 1'
_space_group_IT_number 1
loop_
_space_group_symop_operation_xyz
'x,y,z'
loop_
_atom_site_label
_atom_site_fract_x
_atom_site_fract_y
_atom_site_fract_z
Tl1 0.3691 0.3691 0.7382
Tl2 0.6309 0.6309 0.2618
Cu1 0.0000 0.0000 0.0000
I1 0.1587 0.1587 0.3173
I2 0.8413 0.8413 0.6827
Br1 0.0000 0.5000 0.0000
Br2 0.5000 0.0000 0.0000
# * E_form (uncorrected): -479 meV per atom
# * DFT total energy: -2.66 eV per atom
# * symmetry: I4/mmm, No. 139

---

9.
# PBE In2HAu2, relaxed
data_In2HAu2
_chemical_formula_sum 'In4 H2 Au4'
_cell_length_a 6.2686
_cell_length_b 6.2686
_cell_length_c 4.7651
_cell_angle_alpha 90.00
_cell_angle_beta 90.00
_cell_angle_gamma 90.00
_space_group_name_H-M_alt 'P 1'
_space_group_IT_number 1
loop_
_space_group_symop_operation_xyz
'x,y,z'
loop_
_atom_site_label
_atom_site_fract_x
_atom_site_fract_y
_atom_site_fract_z
H1 0.0000 0.0000 0.0000
H2 0.5000 0.5000 0.0000
Au1 0.1561 0.6561 0.5000
Au2 0.6561 0.8439 0.5000
Au3 0.8439 0.3439 0.5000
Au4 0.3439 0.1561 0.5000
In1 0.3237 0.8237 0.0000
In2 0.8237 0.6763 0.0000
In3 0.6763 0.1763 0.0000
In4 0.1763 0.3237 0.0000
# * DFT total energy: -2.90 eV per atom
# * energy above the lowest structure with this stoichiometry: 22 meV/atom
# * symmetry: P4/mbm, No. 127

---

10.
# PBE PrAlIn2S6, relaxed
data_PrAlIn2S6
_chemical_formula_sum 'Pr2 Al2 In4 S12'
_cell_length_a 7.4491
_cell_length_b 8.7344
_cell_length_c 8.7344
_cell_angle_alpha 80.68
_cell_angle_beta 72.32
_cell_angle_gamma 72.32
_space_group_name_H-M_alt 'P 1'
_space_group_IT_number 1
loop_
_space_group_symop_operation_xyz
'x,y,z'
loop_
_atom_site_label
_atom_site_fract_x
_atom_site_fract_y
_atom_site_fract_z
Pr1 0.2500 0.8386 0.1614
Pr2 0.7500 0.1614 0.8386
Al1 0.2500 0.1768 0.8232
Al2 0.7500 0.8232 0.1768
In1 0.3157 0.7426 0.6244
In2 0.1843 0.3756 0.2574
In3 0.6843 0.2574 0.3756
In4 0.8157 0.6244 0.7426
S1 0.1512 0.9494 0.8352
S2 0.3488 0.1648 0.0506
S3 0.8488 0.0506 0.1648
S4 0.6512 0.8352 0.9494
S5 0.4652 0.8806 0.3671
S6 0.0348 0.6329 0.1194
S7 0.5348 0.1194 0.6329
S8 0.9652 0.3671 0.8806
S9 0.0341 0.7503 0.5248
S10 0.4659 0.4752 0.2497
S11 0.9659 0.2497 0.4752
S12 0.5341 0.5248 0.7503
# * E_form (uncorrected): -983 meV per atom
# * DFT total energy: -4.86 eV per atom
# * symmetry: C2/c, No. 15

---

11.
# PBE Tb4Sn8Pd, relaxed
data_Tb4Sn8Pd
_chemical_formula_sum 'Tb4 Sn8 Pd1'
_cell_length_a 4.3991
_cell_length_b 4.4238
_cell_length_c 17.2467
_cell_angle_alpha 90.00
_cell_angle_beta 90.00
_cell_angle_gamma 90.00
_space_group_name_H-M_alt 'P 1'
_space_group_IT_number 1
loop_
_space_group_symop_operation_xyz
'x,y,z'
loop_
_atom_site_label
_atom_site_fract_x
_atom_site_fract_y
_atom_site_fract_z
Tb1 0.0000 0.0000 0.0904
Tb2 0.0000 0.5000 0.6097
Tb3 0.5000 0.5000 0.3961
Tb4 0.5000 0.0000 0.8972
Sn1 0.0000 0.0000 0.4677
Sn2 0.0000 0.5000 0.9295
Sn3 0.5000 0.5000 0.0485
Sn4 0.5000 0.0000 0.5809
Sn5 0.0000 0.5000 0.2292
Sn6 0.0000 0.0000 0.7520
Sn7 0.5000 0.0000 0.2277
Sn8 0.5000 0.5000 0.7560
Pd1 0.0000 0.0000 0.3182
# * calculated formation energy: -0.611 eV/atom
# * DFT total energy: -4.90 eV per atom
# * symmetry: Pmm2, No. 25

---

12.
# PBE SrAcIn2, relaxed
data_SrAcIn2
_chemical_formula_sum 'Sr1 Ac1 In2'
_cell_length_a 4.0732
_cell_length_b 4.0732
_cell_length_c 8.2655
_cell_angle_alpha 90.00
_cell_angle_beta 90.00
_cell_angle_gamma 90.00
_space_group_name_H-M_alt 'P 1'
_space_group_IT_number 1
loop_
_space_group_symop_operation_xyz
'x,y,z'
loop_
_atom_site_label
_atom_site_fract_x
_atom_site_fract_y
_atom_site_fract_z
Sr1 0.5000 0.5000 0.5000
Ac1 0.5000 0.5000 0.0000
In1 0.0000 0.0000 0.7463
In2 0.0000 0.0000 0.2537
# * calculated formation energy: -0.429 eV/atom
# * DFT total energy: -3.25 eV per atom
# * symmetry: P4/mmm, No. 123